Entry 1:
Computed, not measured: NaAl6Fe3Si6B3H3O30F at its PBEsol-relaxed geometry at the meta-GGA SCAN level of DFT. Values from VASP.

Structure (Quantum ESPRESSO input):
```
&SYSTEM
  ibrav = 0, nat = 53, ntyp = 8
/
ATOMIC_SPECIES
Na 22.99 Na.upf
Al 26.98 Al.upf
Fe 55.84 Fe.upf
Si 28.09 Si.upf
B 10.81 B.upf
H 1.01 H.upf
O 16.00 O.upf
F 19.00 F.upf
CELL_PARAMETERS angstrom
7.963 4.598 2.379
-7.963 4.598 2.379
0.000 -9.195 2.379
ATOMIC_POSITIONS angstrom
Na 0.000 0.000 0.000
Al -2.645 -3.571 4.351
Al -4.415 -0.506 4.351
Al 2.645 -3.571 4.351
Al -1.770 4.076 4.351
Al 4.415 -0.506 4.351
Al 1.770 4.076 4.351
Fe -1.303 -0.752 4.138
Fe 1.303 -0.752 4.138
Fe 0.000 1.504 4.138
Si -1.544 -2.628 1.548
Si -3.048 -0.023 1.548
Si 1.544 -2.628 1.548
Si -1.504 2.651 1.548
Si 3.048 -0.023 1.548
Si 1.504 2.651 1.548
B 0.000 -3.047 5.499
B -2.639 1.524 5.499
B 2.639 1.524 5.499
H -3.099 -1.789 6.042
H 3.099 -1.789 6.042
H 0.000 3.579 6.042
O 0.000 -2.587 1.004
O -2.240 1.293 1.004
O -4.123 -3.753 3.186
O -5.312 -1.694 3.186
O -2.272 -5.232 3.370
O -5.667 0.648 3.370
O 0.000 -6.610 3.248
O -5.724 3.305 3.248
O -1.609 -2.571 3.161
O -3.032 -0.108 3.161
O 2.240 1.293 1.004
O 2.272 -5.232 3.370
O -3.395 4.584 3.370
O -3.217 -1.857 5.068
O 1.609 -2.571 3.161
O -1.422 2.679 3.161
O 4.123 -3.753 3.186
O -1.189 5.447 3.186
O 3.032 -0.108 3.161
O 1.422 2.679 3.161
O 0.000 -1.687 5.334
O -1.461 0.843 5.334
O 5.312 -1.694 3.186
O 1.189 5.447 3.186
O 3.217 -1.857 5.068
O 0.000 3.715 5.068
O 5.667 0.648 3.370
O 3.395 4.584 3.370
O 1.461 0.843 5.334
O 5.724 3.305 3.248
F 0.000 0.000 2.555
```

## Properties
energy	-10.0879	eV/atom
SG	R3m

=====

Entry 2:
Computed, not measured: LiCd5 at its PBEsol-relaxed geometry at the meta-GGA SCAN level of DFT. Values from VASP.

Structure (Quantum ESPRESSO input):
```
&SYSTEM
  ibrav = 0, nat = 6, ntyp = 2
/
ATOMIC_SPECIES
Li 6.94 Li.upf
Cd 112.41 Cd.upf
CELL_PARAMETERS angstrom
5.486 -1.551 0.000
5.486 1.551 0.000
-1.653 0.000 6.941
ATOMIC_POSITIONS angstrom
Li 0.000 0.000 0.000
Cd -0.444 0.000 4.306
Cd 2.547 0.000 4.635
Cd 3.842 0.000 1.845
Cd 6.726 0.000 2.271
Cd 6.344 0.000 6.566
```

## Properties
energy of formation	-0.122	eV per atom
energy	-25.8658	eV/atom
SG	Cm

=====

- What is the energy in the second record?
  -25.8658 eV/atom

=====

Repeat the second record exactly.
Computed, not measured: LiCd5 at its PBEsol-relaxed geometry at the meta-GGA SCAN level of DFT. Values from VASP.

Structure (Quantum ESPRESSO input):
```
&SYSTEM
  ibrav = 0, nat = 6, ntyp = 2
/
ATOMIC_SPECIES
Li 6.94 Li.upf
Cd 112.41 Cd.upf
CELL_PARAMETERS angstrom
5.486 -1.551 0.000
5.486 1.551 0.000
-1.653 0.000 6.941
ATOMIC_POSITIONS angstrom
Li 0.000 0.000 0.000
Cd -0.444 0.000 4.306
Cd 2.547 0.000 4.635
Cd 3.842 0.000 1.845
Cd 6.726 0.000 2.271
Cd 6.344 0.000 6.566
```

## Properties
energy of formation	-0.122	eV per atom
energy	-25.8658	eV/atom
SG	Cm

=====

- Among the records above, which one has the highest energy?
  NaAl6Fe3Si6B3H3O30F